A geometry-optimized Cu2SnAu2 structure, computed with PBE.

Unit cell a=7.2814 b=7.2814 c=7.2814 alpha=150.77 beta=150.77 gamma=41.81
Closest atoms and distances in Å follow each position.
Element x y z (fractional)
Cu: 0.2500 0.7500 0.5000  4 Cu 2.60, 4 Au 2.65
Cu: 0.7500 0.2500 0.5000  4 Cu 2.60, 4 Au 2.65
Sn: 0.0000 0.0000 0.0000  8 Au 2.99
Au: 0.3909 0.3909 0.0000  4 Cu 2.65, 1 Au 2.97
Au: 0.6091 0.6091 0.0000  4 Cu 2.65, 1 Au 2.97

Values from the calculation:
Formation enthalpy at 0 K in eV per atom: 0.040
Total magnetization in μB/atom: 0.00
Excess energy over the best structure of this formula in the dataset in eV per formula unit: 0.322

A geometry-optimized Sr2AcO structure, computed with PBE.

Unit cell a=10.8666 b=10.8666 c=10.8666 alpha=20.10 beta=20.10 gamma=20.10
Closest atoms and distances in Å follow each position.
Element x y z (fractional)
Sr: 0.1198 0.1198 0.1198  3 O 2.65
Sr: 0.8802 0.8802 0.8802  3 O 2.65
Ac: 0.0000 0.0000 0.0000  6 Ac 3.79, 2 Sr 3.83
O: 0.5000 0.5000 0.5000  6 Sr 2.65

Values from the calculation:
Uncorrected formation energy in eV/atom: -1.1303
Total magnetization in μB/atom: 0.00
Excess energy over the best structure of this formula in the dataset in eV per formula unit: 0.000

A geometry-optimized Sm4TlOs structure, computed with PBE.

Unit cell a=8.0403 b=8.0403 c=6.2732 alpha=99.61 beta=99.61 gamma=112.92
Closest atoms and distances in Å follow each position.
Element x y z (fractional)
Sm: 0.0598 0.7219 0.9514  2 Os 2.90-2.91
Sm: 0.2021 0.3529 0.6082  2 Os 2.97-3.04, 1 Tl 3.28
Sm: 0.2781 0.9402 0.5486  2 Os 2.90-2.91
Sm: 0.3529 0.2021 0.1082  2 Os 2.97-3.04, 1 Tl 3.28
Sm: 0.6471 0.7979 0.8918  2 Os 2.97-3.04, 1 Tl 3.28
Sm: 0.7219 0.0598 0.4514  2 Os 2.90-2.91
Sm: 0.7979 0.6471 0.3918  2 Os 2.97-3.04, 1 Tl 3.28
Sm: 0.9402 0.2781 0.0486  2 Os 2.90-2.91
Tl: 0.3761 0.6239 0.2500  8 Sm 3.28-3.47
Tl: 0.6239 0.3761 0.7500  8 Sm 3.28-3.47
Os: 0.9999 0.0001 0.2500  8 Sm 2.90-3.04, 2 Os 3.14
Os: 0.0001 0.9999 0.7500  8 Sm 2.90-3.04, 2 Os 3.14

Values from the calculation:
Formation enthalpy at 0 K in eV per atom: -0.249
Total magnetization in μB/atom: 0.00

A geometry-optimized La3TbPb2S structure, computed with PBE.

Unit cell a=9.2842 b=9.2842 c=9.2842 alpha=147.56 beta=146.50 gamma=47.33
Closest atoms and distances in Å follow each position.
Element x y z (fractional)
La: 0.0000 0.0000 0.0000  2 S 2.68
La: 0.3306 0.8306 0.5000  1 S 2.88
La: 0.6694 0.1694 0.5000  1 S 2.88
Tb: 0.5000 0.5000 0.0000  2 S 2.59
Pb: 0.1346 0.6346 0.5000  3 La 3.33-3.46, 2 Tb 3.52
Pb: 0.8654 0.3654 0.5000  3 La 3.33-3.46, 2 Tb 3.52
S: 0.5000 0.0000 0.5000  2 Tb 2.59, 4 La 2.68-2.88

Values from the calculation:
Uncorrected formation energy in eV/atom: -0.8847
Total magnetization in μB/atom: 0.00

total magnetization of number 4 (La3TbPb2S)? 0.00 μB/atom

Which formula does entry 3 have? Sm4TlOs